1.
Ta6NbW (PBE-GGA, relaxed); spin magnetization = 0.00 Bohr magnetons per cell; E_tot = -92.62 eV/f.u.; formation energy = 4.4 kcal/mol of atoms; space group = R-3m, No. 166; energy above the lowest structure with this stoichiometry = 0.207 eV/atom; density = 15.36 g cm⁻³
1.0
4.7929 2.7672 1.8505
-4.7929 2.7672 1.8505
0.0000 -5.5344 1.8505
Ta Nb W
6 1 1
Direct
0.2513 0.2513 0.7472 Ta
0.2513 0.7472 0.2513 Ta
0.2528 0.7487 0.7487 Ta
0.7472 0.2513 0.2513 Ta
0.7487 0.2528 0.7487 Ta
0.7487 0.7487 0.2528 Ta
0.0000 0.0000 0.0000 Nb
0.5000 0.5000 0.5000 W

2.
Ta5Nb4W2 (PBE-GGA, relaxed); spin magnetization = 0.00 Bohr magnetons per cell; E_tot = -122.36 eV/f.u.; formation energy = 6.5 kcal/mol of atoms; space group = C2/m, No. 12; energy above the lowest structure with this stoichiometry = 0.221 eV/atom; density = 13.52 g cm⁻³
1.0
10.0752 -1.3573 0.0000
10.0752 1.3573 0.0000
-0.4677 0.0000 7.3842
Ta Nb W
5 4 2
Direct
0.0000 0.0000 0.0000 Ta
0.2707 0.2707 0.1771 Ta
0.3642 0.3642 0.9049 Ta
0.6358 0.6358 0.0951 Ta
0.7293 0.7293 0.8229 Ta
0.1802 0.1802 0.4675 Nb
0.4537 0.4537 0.6393 Nb
0.5463 0.5463 0.3607 Nb
0.8198 0.8198 0.5325 Nb
0.4098 0.4098 0.2676 W
0.5902 0.5902 0.7324 W

3.
TaNb12W7 (PBE-GGA, relaxed); spin magnetization = 0.00 Bohr magnetons per cell; E_tot = -215.88 eV/f.u.; formation energy = 8.6 kcal/mol of atoms; space group = R-3, No. 148; density = 11.63 g cm⁻³
1.0
4.9083 2.8338 4.4180
-4.9083 2.8338 4.4180
0.0000 -5.6676 4.4180
Ta Nb W
1 12 7
Direct
0.0000 0.0000 0.0000 Ta
0.1286 0.2591 0.7221 Nb
0.1433 0.6241 0.5048 Nb
0.2591 0.7221 0.1286 Nb
0.2779 0.8714 0.7409 Nb
0.3759 0.4952 0.8567 Nb
0.4952 0.8567 0.3759 Nb
0.5048 0.1433 0.6241 Nb
0.6241 0.5048 0.1433 Nb
0.7221 0.1286 0.2591 Nb
0.7409 0.2779 0.8714 Nb
0.8567 0.3759 0.4952 Nb
0.8714 0.7409 0.2779 Nb
0.0477 0.3671 0.1312 W
0.1312 0.0477 0.3671 W
0.3671 0.1312 0.0477 W
0.5000 0.5000 0.5000 W
0.6329 0.8688 0.9523 W
0.8688 0.9523 0.6329 W
0.9523 0.6329 0.8688 W

4.
TaNbW2 (PBE-GGA, relaxed); spin magnetization = 0.00 Bohr magnetons per cell; E_tot = -44.33 eV/f.u.; formation energy = 20.2 kcal/mol of atoms; space group = Immm, No. 71; density = 14.38 g cm⁻³
1.0
3.0220 0.0000 0.0000
0.0000 4.5687 0.0000
0.0000 0.0000 10.7313
Ta Nb W
2 2 4
Direct
0.0000 0.0000 0.0000 Ta
0.5000 0.5000 0.5000 Ta
0.0000 0.0000 0.5000 Nb
0.5000 0.5000 0.0000 Nb
0.0000 0.0000 0.2498 W
0.0000 0.0000 0.7502 W
0.5000 0.5000 0.2502 W
0.5000 0.5000 0.7498 W

5.
Ta6NbW (PBE-GGA, relaxed); spin magnetization = 0.00 Bohr magnetons per cell; E_tot = -94.28 eV/f.u.; formation energy = -0.4 kcal/mol of atoms; space group = Cmmm, No. 65; energy above the lowest structure with this stoichiometry = 0.000 eV/atom; density = 15.72 g cm⁻³
1.0
6.6402 0.0000 0.0000
0.0000 9.3227 0.0000
0.0000 0.0000 4.6488
Ta Nb W
12 2 2
Direct
0.0000 0.2488 0.0000 Ta
0.0000 0.7512 0.0000 Ta
0.2449 0.5000 0.0000 Ta
0.2500 0.2500 0.5000 Ta
0.2500 0.7500 0.5000 Ta
0.2551 0.0000 0.0000 Ta
0.5000 0.2512 0.0000 Ta
0.5000 0.7488 0.0000 Ta
0.7449 0.0000 0.0000 Ta
0.7500 0.2500 0.5000 Ta
0.7500 0.7500 0.5000 Ta
0.7551 0.5000 0.0000 Ta
0.0000 0.0000 0.5000 Nb
0.5000 0.5000 0.5000 Nb
0.0000 0.5000 0.5000 W
0.5000 0.0000 0.5000 W

6.
Ta2Nb7W2 (PBE-GGA, relaxed); spin magnetization = 0.00 Bohr magnetons per cell; E_tot = -117.35 eV/f.u.; formation energy = 5.8 kcal/mol of atoms; space group = C2/m, No. 12; energy above the lowest structure with this stoichiometry = 0.053 eV/atom; density = 11.19 g cm⁻³
1.0
3.2408 -4.4332 0.0000
3.2408 4.4332 0.0000
-2.2450 0.0000 7.1294
Ta Nb W
2 7 2
Direct
0.0904 0.0904 0.3299 Ta
0.9096 0.9096 0.6701 Ta
0.0142 0.4211 0.6796 Nb
0.3060 0.3060 0.0580 Nb
0.4211 0.0142 0.6796 Nb
0.5000 0.5000 0.5000 Nb
0.5789 0.9858 0.3204 Nb
0.6940 0.6940 0.9420 Nb
0.9858 0.5789 0.3204 Nb
0.2330 0.7670 0.0000 W
0.7670 0.2330 0.0000 W

7.
Ta3Nb2W2 (PBE-GGA, relaxed); spin magnetization = 0.00 Bohr magnetons per cell; E_tot = -78.35 eV/f.u.; formation energy = 10.7 kcal/mol of atoms; space group = P-1, No. 2; energy above the lowest structure with this stoichiometry = 0.200 eV/atom; density = 13.59 g cm⁻³
1.0
4.4409 0.0000 0.0000
-0.0100 4.6130 0.0000
-2.2007 -2.2850 6.5403
Ta Nb W
3 2 2
Direct
0.0000 0.0000 0.0000 Ta
0.2457 0.2458 0.4916 Ta
0.7543 0.7542 0.5084 Ta
0.1202 0.6178 0.2347 Nb
0.8798 0.3822 0.7653 Nb
0.3753 0.8742 0.7509 W
0.6247 0.1258 0.2491 W

8.
Ta6NbW2 (PBE-GGA, relaxed); spin magnetization = 0.00 Bohr magnetons per cell; E_tot = -105.14 eV/f.u.; formation energy = 5.0 kcal/mol of atoms; space group = R-3m, No. 166; energy above the lowest structure with this stoichiometry = 0.263 eV/atom; density = 15.18 g cm⁻³
1.0
2.2874 1.3206 9.3351
-2.2874 1.3206 9.3351
0.0000 -2.6413 9.3351
Ta Nb W
6 1 2
Direct
0.0917 0.0917 0.0917 Ta
0.1990 0.1990 0.1990 Ta
0.3038 0.3038 0.3038 Ta
0.6962 0.6962 0.6962 Ta
0.8010 0.8010 0.8010 Ta
0.9083 0.9083 0.9083 Ta
0.5000 0.5000 0.5000 Nb
0.3993 0.3993 0.3993 W
0.6007 0.6007 0.6007 W

9.
Ta5Nb2W (PBE-GGA, relaxed); spin magnetization = 0.00 Bohr magnetons per cell; E_tot = -92.19 eV/f.u.; formation energy = 0.5 kcal/mol of atoms; space group = Pbam, No. 55; energy above the lowest structure with this stoichiometry = 0.000 eV/atom; density = 14.65 g cm⁻³
1.0
5.6173 0.0000 0.0000
0.0000 10.9674 0.0000
0.0000 0.0000 4.6890
Ta Nb W
10 4 2
Direct
0.0000 0.0000 0.0000 Ta
0.1485 0.2531 0.0000 Ta
0.1579 0.6133 0.5000 Ta
0.3421 0.1133 0.5000 Ta
0.3515 0.7531 0.0000 Ta
0.5000 0.5000 0.0000 Ta
0.6485 0.2469 0.0000 Ta
0.6579 0.8867 0.5000 Ta
0.8421 0.3867 0.5000 Ta
0.8515 0.7469 0.0000 Ta
0.1572 0.8720 0.5000 Nb
0.3428 0.3720 0.5000 Nb
0.6572 0.6280 0.5000 Nb
0.8428 0.1280 0.5000 Nb
0.0000 0.5000 0.0000 W
0.5000 0.0000 0.0000 W

10.
TaNb5W2 (PBE-GGA, relaxed); spin magnetization = 0.00 Bohr magnetons per cell; E_tot = -88.36 eV/f.u.; formation energy = -0.7 kcal/mol of atoms; space group = I4/mmm, No. 139; density = 11.94 g cm⁻³
1.0
4.6173 0.0000 0.0000
0.0000 4.6173 0.0000
0.0000 0.0000 13.2227
Ta Nb W
2 10 4
Direct
0.0000 0.0000 0.0000 Ta
0.5000 0.5000 0.5000 Ta
0.0000 0.0000 0.5000 Nb
0.0000 0.5000 0.1287 Nb
0.0000 0.5000 0.3713 Nb
0.0000 0.5000 0.6287 Nb
0.0000 0.5000 0.8713 Nb
0.5000 0.0000 0.1287 Nb
0.5000 0.0000 0.3713 Nb
0.5000 0.0000 0.6287 Nb
0.5000 0.0000 0.8713 Nb
0.5000 0.5000 0.0000 Nb
0.0000 0.0000 0.2490 W
0.0000 0.0000 0.7510 W
0.5000 0.5000 0.2510 W
0.5000 0.5000 0.7490 W

11.
Ta3Nb2W3 (PBE-GGA, relaxed); spin magnetization = 0.00 Bohr magnetons per cell; E_tot = -95.00 eV/f.u.; formation energy = -1.3 kcal/mol of atoms; space group = Immm, No. 71; energy above the lowest structure with this stoichiometry = 0.000 eV/atom; density = 15.35 g cm⁻³
1.0
4.5633 0.0000 0.0000
0.0000 4.6403 0.0000
0.0000 0.0000 13.0773
Ta Nb W
6 4 6
Direct
0.0000 0.0000 0.0000 Ta
0.0000 0.5000 0.1224 Ta
0.0000 0.5000 0.8776 Ta
0.5000 0.0000 0.3776 Ta
0.5000 0.0000 0.6224 Ta
0.5000 0.5000 0.5000 Ta
0.0000 0.0000 0.2489 Nb
0.0000 0.0000 0.7511 Nb
0.5000 0.5000 0.2511 Nb
0.5000 0.5000 0.7489 Nb
0.0000 0.0000 0.5000 W
0.0000 0.5000 0.3757 W
0.0000 0.5000 0.6243 W
0.5000 0.0000 0.1243 W
0.5000 0.0000 0.8757 W
0.5000 0.5000 0.0000 W

12.
Ta2NbW6 (PBE-GGA, relaxed); spin magnetization = 0.00 Bohr magnetons per cell; E_tot = -108.52 eV/f.u.; formation energy = 7.6 kcal/mol of atoms; space group = C2/m, No. 12; energy above the lowest structure with this stoichiometry = 0.158 eV/atom; density = 16.65 g cm⁻³
1.0
3.9863 -4.2307 0.0000
3.9863 4.2307 0.0000
-1.3016 0.0000 4.6051
Ta Nb W
2 1 6
Direct
0.1678 0.1678 0.1677 Ta
0.8322 0.8322 0.8323 Ta
0.5000 0.5000 0.5000 Nb
0.0032 0.6629 0.3321 W
0.3291 0.6709 0.0000 W
0.3371 0.9968 0.6679 W
0.6629 0.0032 0.3321 W
0.6709 0.3291 0.0000 W
0.9968 0.3371 0.6679 W